# 1
{
  "formula": "BPF2",
  "functional": "PBE-GGA",
  "state": "relaxed",
  "lattice": [[-9.7365, -1.5611, 0.0055], [-9.1732, -3.1503, 1.7786], [-9.5506, -0.7946, 2.3217]],
  "species": ["F", "F", "B", "P"],
  "fractional_positions": [[0.0557, 0.0557, 0.0557], [0.9443, 0.9443, 0.9443], [0.5000, 0.5000, 0.5000], [0.0000, 0.0000, 0.0000]],
  "formation_energy_uncorrected_ev_per_fu": -0.66,
  "e_above_lowest_polymorph_mev_per_atom": 469,
  "sg": "No. 166"
}

***

# 2
{
  "formula": "Cr2FeCo",
  "functional": "PBE-GGA",
  "state": "relaxed",
  "lattice": [[4.3164, -0.0011, -0.0060], [1.4423, 4.0683, 0.0060], [-2.8761, -2.0382, 2.4910]],
  "species": ["Cr", "Cr", "Fe", "Co"],
  "fractional_positions": [[0.5000, 0.5000, 0.0000], [0.0000, 0.0000, 0.0000], [0.7500, 0.2500, 0.5000], [0.2500, 0.7500, 0.5000]],
  "sg": "No. 139",
  "delta_e_f_ev_per_atom": 0.073
}